DFT (GGA-PBE) results for crystalline BePCl2F at its relaxed geometry.

Relative energy among the computed polymorphs = 0 meV per atom
Calculated total energy = -15.2 eV/cell
Volume = 18.20 Å³/atom
N(E_F) = 0.55 states/eV/atom

Unit cell a=4.642 b=4.221 c=4.642 alpha=90.00 beta=90.00 gamma=90.00
Last column: magnetic moment on the atom in μB.
Element x y z (fractional)
P  0.000  0.000  0.000  -0.03
F  0.500  0.500  0.500  0.10
Be  0.000  0.500  0.000  0.00
Cl  0.000  0.000  0.500  0.01
Cl  0.500  0.000  0.000  0.00